# 1
This record from the Alexandria database describes a geometry-optimized ErScRhPb structure. The functional is PBE-GGA.

Unit cell a=3.392 b=3.392 c=7.742 alpha=90.00 beta=90.00 gamma=90.00
Fractional positions:
Er1 0.500 0.500 0.778
Sc1 0.500 0.500 0.366
Rh1 0.000 0.000 0.554
Pb1 0.000 0.000 0.087

Energy of formation: -15.72 kcal/mol of atoms
Spin magnetization: 0.0 μB/f.u.
Distance to the lowest polymorph of the same formula: 0 meV/atom

---

# 2
This record from the Alexandria database describes a geometry-optimized ErScRhPb structure. The functional is PBE-GGA.

Unit cell a=4.990 b=4.990 c=4.990 alpha=60.00 beta=60.00 gamma=60.00
Fractional positions:
Pb1 0.000 0.000 0.000
Sc1 0.750 0.750 0.750
Rh1 0.500 0.500 0.500
Er1 0.250 0.250 0.250

Energy of formation: -11.94 kcal/mol of atoms
Spin magnetization: 0.0 μB/f.u.
Distance to the lowest polymorph of the same formula: 164 meV/atom

---

# 3
This record from the Alexandria database describes a geometry-optimized Er2Si2Rh5Pb structure. The functional is PBE-GGA.

Unit cell a=3.569 b=9.797 c=9.797 alpha=90.00 beta=90.00 gamma=90.00
Fractional positions:
Er1 0.000 0.676 0.176
Er2 0.000 0.324 0.824
Er3 0.000 0.176 0.324
Er4 0.000 0.824 0.676
Si1 0.000 0.121 0.621
Si2 0.000 0.879 0.379
Si3 0.000 0.621 0.879
Si4 0.000 0.379 0.121
Rh1 0.500 0.221 0.071
Rh2 0.500 0.779 0.929
Rh3 0.500 0.071 0.779
Rh4 0.500 0.721 0.429
Rh5 0.500 0.929 0.221
Rh6 0.500 0.279 0.571
Rh7 0.500 0.571 0.721
Rh8 0.500 0.429 0.279
Rh9 0.500 0.500 0.000
Rh10 0.500 0.000 0.500
Pb1 0.000 0.000 0.000
Pb2 0.000 0.500 0.500

Spin magnetization: 0.0 μB/f.u.
Formation energy (no corrections): -887.8 meV per atom

---

# 4
This record from the Alexandria database describes a geometry-optimized SmErRhPb structure. The functional is PBE-GGA.

Unit cell a=5.179 b=5.179 c=5.179 alpha=60.00 beta=60.00 gamma=60.00
Fractional positions:
Pb1 0.500 0.500 0.500
Rh1 0.000 0.000 0.000
Sm1 0.750 0.750 0.750
Er1 0.250 0.250 0.250

Energy of formation: -11.35 kcal/mol of atoms
Spin magnetization: 0.0 μB/f.u.

---

# 5
This record from the Alexandria database describes a geometry-optimized Er6Te3Rh2Pb structure. The functional is PBE-GGA.

Unit cell a=4.111 b=8.829 c=9.668 alpha=106.65 beta=102.28 gamma=90.00
Fractional positions:
Er1 0.328 0.877 0.656
Er2 0.680 0.562 0.360
Er3 0.672 0.123 0.344
Er4 0.015 0.261 0.030
Er5 0.985 0.739 0.970
Er6 0.320 0.438 0.640
Te1 0.500 0.500 0.000
Te2 0.840 0.164 0.679
Te3 0.160 0.836 0.321
Rh1 0.832 0.663 0.663
Rh2 0.168 0.337 0.337
Pb1 0.500 0.000 0.000

Spin magnetization: 0.0 μB/f.u.
Formation energy (no corrections): -962.5 meV per atom

---

# 6
This record from the Alexandria database describes a geometry-optimized ErTmRhPb structure. The functional is PBE-GGA.

Unit cell a=5.093 b=5.093 c=5.093 alpha=60.00 beta=60.00 gamma=60.00
Fractional positions:
Pb1 0.500 0.500 0.500
Tm1 0.250 0.250 0.250
Rh1 0.000 0.000 0.000
Er1 0.750 0.750 0.750

Energy of formation: -12.25 kcal/mol of atoms
Spin magnetization: 0.0 μB/f.u.
Distance to the lowest polymorph of the same formula: 176 meV/atom

---

# 7
This record from the Alexandria database describes a geometry-optimized ErTmRhPb structure. The functional is PBE-GGA.

Unit cell a=3.457 b=3.457 c=7.930 alpha=90.00 beta=90.00 gamma=90.00
Fractional positions:
Er1 0.500 0.500 0.777
Tm1 0.500 0.500 0.365
Rh1 0.000 0.000 0.569
Pb1 0.000 0.000 0.073

Energy of formation: -16.30 kcal/mol of atoms
Spin magnetization: 0.0 μB/f.u.
Distance to the lowest polymorph of the same formula: 0 meV/atom

---

# 8
This record from the Alexandria database describes a geometry-optimized YErRhPb structure. The functional is PBE-GGA.

Unit cell a=5.130 b=5.130 c=5.130 alpha=60.00 beta=60.00 gamma=60.00
Fractional positions:
Pb1 0.500 0.500 0.500
Y1 0.750 0.750 0.750
Rh1 0.000 0.000 0.000
Er1 0.250 0.250 0.250

Energy of formation: -12.27 kcal/mol of atoms
Spin magnetization: 0.0 μB/f.u.

---

# 9
This record from the Alexandria database describes a geometry-optimized Er4RuPb3 structure. The functional is PBE-GGA.

Unit cell a=3.456 b=3.456 c=17.154 alpha=90.00 beta=90.00 gamma=90.00
Fractional positions:
Pb1 0.500 0.500 0.237
Pb2 0.500 0.500 0.500
Pb3 0.500 0.500 0.763
Ru1 0.500 0.500 0.000
Er1 0.000 0.000 0.905
Er2 0.000 0.000 0.095
Er3 0.000 0.000 0.368
Er4 0.000 0.000 0.632

Energy of formation: -10.25 kcal/mol of atoms
Spin magnetization: 0.0 μB/f.u.

---

# 10
This record from the Alexandria database describes a geometry-optimized Er12RuPb6 structure. The functional is PBE-GGA.

Unit cell a=8.557 b=8.557 c=8.557 alpha=99.31 beta=99.31 gamma=99.31
Fractional positions:
Er1 0.797 0.582 0.455
Er2 0.455 0.797 0.582
Er3 0.582 0.455 0.797
Er4 0.203 0.418 0.545
Er5 0.545 0.203 0.418
Er6 0.418 0.545 0.203
Er7 0.053 0.000 0.313
Er8 0.000 0.687 0.947
Er9 0.687 0.947 0.000
Er10 0.947 0.000 0.687
Er11 0.000 0.313 0.053
Er12 0.313 0.053 0.000
Ru1 0.000 0.000 0.000
Pb1 0.679 0.881 0.344
Pb2 0.656 0.321 0.119
Pb3 0.119 0.656 0.321
Pb4 0.321 0.119 0.656
Pb5 0.344 0.679 0.881
Pb6 0.881 0.344 0.679

Energy of formation: -5.55 kcal/mol of atoms
Spin magnetization: 0.0 μB/f.u.

---

# 11
This record from the Alexandria database describes a geometry-optimized Er2RuPb structure. The functional is PBE-GGA.

Unit cell a=5.075 b=5.075 c=5.075 alpha=60.00 beta=60.00 gamma=60.00
Fractional positions:
Pb1 0.000 0.000 0.000
Ru1 0.500 0.500 0.500
Er1 0.250 0.250 0.250
Er2 0.750 0.750 0.750

Energy of formation: -6.58 kcal/mol of atoms
Spin magnetization: 0.0 μB/f.u.
Distance to the lowest polymorph of the same formula: 213 meV/atom

---

# 12
This record from the Alexandria database describes a geometry-optimized Er4Ru2Pb structure. The functional is PBE-GGA.

Unit cell a=5.049 b=5.049 c=14.946 alpha=90.00 beta=90.00 gamma=120.03
Fractional positions:
Er1 0.167 0.833 0.880
Er2 0.167 0.833 0.620
Er3 0.833 0.167 0.120
Er4 0.833 0.167 0.380
Er5 0.166 0.834 0.250
Er6 0.834 0.166 0.750
Er7 0.500 0.500 0.000
Er8 0.500 0.500 0.500
Ru1 0.834 0.166 0.561
Ru2 0.166 0.834 0.061
Ru3 0.834 0.166 0.939
Ru4 0.166 0.834 0.439
Pb1 0.499 0.501 0.250
Pb2 0.501 0.499 0.750

Energy of formation: -7.47 kcal/mol of atoms
Spin magnetization: 0.0 μB/f.u.
Distance to the lowest polymorph of the same formula: 87 meV/atom

---

Number 1: E_tot -6.170 eV/atom. Number 2: E_tot -6.006 eV/atom. Number 3: E_tot -6.932 eV/atom. Number 4: E_tot -5.578 eV/atom. Number 5: E_tot -5.564 eV/atom. Number 6: E_tot -5.555 eV/atom. Number 7: E_tot -5.730 eV/atom. Number 8: E_tot -6.054 eV/atom. Number 9: E_tot -5.276 eV/atom. Number 10: E_tot -4.782 eV/atom. Number 11: E_tot -5.813 eV/atom. Number 12: E_tot -6.111 eV/atom.